Entry 1:
Computed, not measured: Pr4Sm3Dy after structural relaxation at the PBE-GGA level of DFT.

Computed properties:
E above lowest polymorph = 0 meV per atom
magnetic moment = 0.0 μB per cell

Structure (CIF):
```
data_Pr4Sm3Dy
_chemical_formula_sum 'Pr8 Sm6 Dy2'
_symmetry_space_group_name_H-M 'P m n 21'
_symmetry_Int_Tables_number 31
_symmetry_space_group_name_Hall 'P 2ac -2'
_cell_length_a 10.368
_cell_length_b 7.314
_cell_length_c 7.314
_cell_angle_alpha 90.00
_cell_angle_beta 90.00
_cell_angle_gamma 90.00
loop_
_atom_site_label
_atom_site_fract_x
_atom_site_fract_y
_atom_site_fract_z
Pr1 0.000 0.000 0.000
Pr2 0.000 0.500 0.499
Pr3 0.250 0.249 0.250
Sm1 0.000 0.500 0.000
Sm2 0.250 0.249 0.750
Dy1 0.000 0.000 0.500
```

Entry 2:
Computed, not measured: Pr16Sm7Dy6 after structural relaxation at the PBE-GGA level of DFT.

Computed properties:
magnetic moment = 0.0 μB per cell

Structure (CIF):
```
data_Pr16Sm7Dy6
_chemical_formula_sum 'Pr64 Sm28 Dy24'
_symmetry_space_group_name_H-M 'F m -3 m'
_symmetry_Int_Tables_number 225
_symmetry_space_group_name_Hall '-F 4 2 3'
_cell_length_a 16.171
_cell_length_b 16.171
_cell_length_c 16.171
_cell_angle_alpha 90.00
_cell_angle_beta 90.00
_cell_angle_gamma 90.00
loop_
_atom_site_label
_atom_site_fract_x
_atom_site_fract_y
_atom_site_fract_z
Pr1 0.125 0.125 0.125
Pr2 0.150 0.150 0.350
Sm1 0.000 0.000 0.000
Sm2 0.000 0.250 0.250
Dy1 0.000 0.000 0.264
```

Entry 3:
Computed, not measured: Pr2Sm2Dy3 after structural relaxation at the PBE-GGA level of DFT.

Computed properties:
E above lowest polymorph = 0 meV per atom
magnetic moment = 0.0 μB per cell

Structure (CIF):
```
data_Pr2Sm2Dy3
_chemical_formula_sum 'Pr4 Sm4 Dy6'
_symmetry_space_group_name_H-M 'P -1'
_symmetry_Int_Tables_number 2
_symmetry_space_group_name_Hall '-P 1'
_cell_length_a 6.263
_cell_length_b 6.264
_cell_length_c 12.514
_cell_angle_alpha 99.65
_cell_angle_beta 99.68
_cell_angle_gamma 99.45
loop_
_atom_site_label
_atom_site_fract_x
_atom_site_fract_y
_atom_site_fract_z
Pr1 0.143 0.284 0.288
Pr2 0.285 0.571 0.072
Sm1 0.426 0.857 0.856
Sm2 0.431 0.857 0.359
Dy1 0.000 0.000 0.000
Dy2 0.000 0.000 0.500
Dy3 0.142 0.286 0.783
Dy4 0.285 0.571 0.571
```

Number 1: DFT formation energy 0.0162 eV/atom. Number 2: DFT formation energy 0.2119 eV/atom. Number 3: DFT formation energy 0.0169 eV/atom.